Entry 1:
Ta2InCo: optimized geometry, PBEsol.

Final energy: -34.85 eV/cell
Space group: No. 119

```
Ta2InCo
1.0
-1.833 0.033 3.449
3.109 -1.676 1.669
1.003 4.698 -1.724
In Co Ta
1 1 2
Direct
0.250 0.750 0.500
0.500 0.500 0.000
0.000 0.000 0.000
0.750 0.250 0.500
```


Entry 2:
CrBiBr2: optimized geometry, PBEsol.

Space group: No. 122
Formation energy without anion corrections: 0.057 eV/atom

```
CrBiBr2
1.0
-3.138 -4.844 -3.604
6.426 -1.081 -1.962
-3.072 -0.861 6.011
Cr Bi Br
2 2 4
Direct
0.000 0.500 0.500
0.500 0.250 0.750
0.000 0.000 0.000
0.500 0.750 0.250
0.127 0.875 0.502
0.873 0.375 0.748
0.373 0.498 0.625
0.627 0.252 0.125
```


Entry 3:
KLi2Mn2O4: optimized geometry, PBEsol.

Space group: No. 11
Formation energy without anion corrections: -1.501 eV/atom

```
KLi2Mn2O4
1.0
3.228 -0.012 0.000
-0.312 5.353 0.000
0.000 0.000 12.419
K Li Mn O
2 4 4 8
Direct
0.942 0.850 0.250
0.058 0.150 0.750
0.528 0.643 0.644
0.528 0.643 0.856
0.472 0.357 0.356
0.472 0.357 0.144
0.000 0.500 0.000
0.500 0.000 0.500
0.000 0.500 0.500
0.500 0.000 0.000
0.038 0.783 0.599
0.038 0.783 0.901
0.962 0.217 0.099
0.962 0.217 0.401
0.580 0.328 0.588
0.580 0.328 0.912
0.420 0.672 0.412
0.420 0.672 0.088
```


Entry 4:
AgGeP2O: optimized geometry, PBEsol.

Space group: No. 123
Formation energy without anion corrections: 0.336 eV/atom

```
AgGeP2O
1.0
-1.720 2.649 -1.417
-3.339 -0.283 3.523
2.580 3.117 2.696
P Ge O Ag
2 1 1 1
Direct
0.000 0.000 0.500
0.000 0.500 0.000
0.000 0.000 0.000
0.500 0.000 0.000
0.500 0.500 0.500
```


Entry 5:
SnSBrN2: optimized geometry, PBEsol.

Space group: No. 123
Formation energy without anion corrections: 1.672 eV/atom

```
SnSBrN2
1.0
-2.364 -3.127 0.565
3.158 -2.390 -0.020
0.443 0.546 4.871
S Sn Br N
1 1 1 2
Direct
0.000 0.000 0.500
0.500 0.500 0.500
0.000 0.000 0.000
0.000 0.500 0.000
0.500 0.000 0.000
```


Entry 6:
Ge3Sb2Te6: optimized geometry, PBEsol.

Space group: No. 12
Formation energy without anion corrections: -0.043 eV/atom

```
Ge3Sb2Te6
1.0
-2.165 -2.577 4.947
-0.462 -4.143 -5.979
7.860 -0.937 2.952
Sb Ge Te
2 3 6
Direct
0.333 0.666 0.163
0.667 0.334 0.837
0.673 0.347 0.335
0.000 0.000 0.500
0.327 0.653 0.665
0.166 0.332 0.342
0.500 0.000 0.500
0.162 0.324 0.824
0.500 0.000 0.000
0.834 0.668 0.658
0.838 0.676 0.176
```


Entry 7:
Cs2TlSbCl6: optimized geometry, PBEsol.

Space group: No. 225
Formation energy without anion corrections: -1.367 eV/atom

```
Cs2TlSbCl6
1.0
7.889 0.000 0.000
3.944 6.832 0.000
3.944 2.277 6.441
Cs Tl Sb Cl
2 1 1 6
Direct
0.750 0.750 0.750
0.250 0.250 0.250
0.500 0.500 0.500
0.000 0.000 0.000
0.764 0.236 0.236
0.764 0.764 0.236
0.236 0.764 0.764
0.764 0.236 0.764
0.236 0.764 0.236
0.236 0.236 0.764
```


Entry 8:
CaAl2Te: optimized geometry, PBEsol.

Space group: No. 71
Formation energy without anion corrections: -0.338 eV/atom

```
CaAl2Te
1.0
-1.901 -1.545 3.030
-2.879 -1.972 -2.811
5.578 -2.587 -0.326
Ca Te Al
1 1 2
Direct
0.500 0.000 0.000
0.000 0.500 0.000
0.738 0.738 0.477
0.262 0.262 0.523
```


Entry 9:
BaCaSbF7: optimized geometry, PBEsol.

Space group: No. 14
Formation energy without anion corrections: -3.290 eV/atom

```
BaCaSbF7
1.0
5.762 0.463 0.000
0.133 9.426 0.000
0.000 0.000 11.325
Ba Ca Sb F
4 4 4 28
Direct
0.255 0.536 0.650
0.745 0.964 0.150
0.745 0.464 0.350
0.255 0.036 0.850
0.707 0.829 0.541
0.293 0.671 0.041
0.707 0.329 0.959
0.293 0.171 0.459
0.212 0.773 0.333
0.788 0.227 0.667
0.212 0.273 0.167
0.788 0.727 0.833
0.100 0.094 0.626
0.394 0.432 0.077
0.509 0.693 0.216
0.491 0.307 0.784
0.030 0.351 0.527
0.228 0.430 0.293
0.009 0.700 0.189
0.970 0.149 0.027
0.394 0.932 0.423
0.491 0.807 0.716
0.100 0.594 0.874
0.900 0.906 0.374
0.991 0.800 0.689
0.505 0.846 0.984
0.970 0.649 0.473
0.030 0.851 0.973
0.991 0.300 0.811
0.900 0.406 0.126
0.495 0.654 0.484
0.606 0.568 0.923
0.495 0.154 0.016
0.009 0.200 0.311
0.505 0.346 0.516
0.772 0.070 0.793
0.772 0.570 0.707
0.228 0.930 0.207
0.606 0.068 0.577
0.509 0.193 0.284
```


Entry 10:
BPdSI2: optimized geometry, PBEsol.

Space group: No. 123
Formation energy without anion corrections: 0.904 eV/atom

```
BPdSI2
1.0
4.083 0.000 0.000
0.000 5.038 0.000
0.000 0.000 5.038
I S B Pd
2 1 1 1
Direct
0.000 0.000 0.500
0.000 0.500 0.000
0.500 0.500 0.500
0.000 0.000 0.000
0.500 0.000 0.000
```


Entry 11:
TaOs2Pt: optimized geometry, PBEsol.

Space group: No. 47
Distance to the lowest polymorph of the same formula: 321 meV per atom

```
TaOs2Pt
1.0
-2.727 0.397 0.335
0.006 -2.476 2.978
1.045 4.220 3.506
Os Pt Ta
2 1 1
Direct
0.000 0.000 0.755
0.000 0.000 0.245
0.500 0.500 0.000
0.500 0.500 0.500
```


Entry 12:
K3Nb2Se11: optimized geometry, PBEsol.

Space group: No. 14
Formation energy without anion corrections: -0.731 eV/atom

```
K3Nb2Se11
1.0
7.913 0.000 -0.049
0.000 8.971 0.000
-3.677 0.000 25.071
K Nb Se
12 8 44
Direct
0.410 0.764 0.670
0.090 0.264 0.830
0.590 0.236 0.330
0.910 0.736 0.170
0.710 0.739 0.515
0.790 0.239 0.985
0.290 0.261 0.485
0.210 0.761 0.015
0.066 0.800 0.817
0.434 0.300 0.683
0.934 0.200 0.183
0.566 0.700 0.317
0.785 0.326 0.578
0.715 0.826 0.922
0.215 0.674 0.422
0.285 0.174 0.078
0.994 0.041 0.669
0.506 0.541 0.831
0.006 0.959 0.331
0.494 0.459 0.169
0.236 0.037 0.738
0.264 0.537 0.762
0.764 0.963 0.262
0.736 0.463 0.238
0.070 0.897 0.588
0.430 0.397 0.912
0.930 0.103 0.412
0.570 0.603 0.088
0.551 0.489 0.585
0.949 0.989 0.915
0.449 0.511 0.415
0.051 0.011 0.085
0.835 0.798 0.692
0.665 0.298 0.808
0.165 0.202 0.308
0.335 0.702 0.192
0.742 0.029 0.725
0.758 0.529 0.775
0.258 0.971 0.275
0.242 0.471 0.225
0.049 0.478 0.622
0.451 0.978 0.878
0.951 0.522 0.378
0.549 0.022 0.122
0.684 0.116 0.512
0.816 0.616 0.988
0.316 0.884 0.488
0.184 0.384 0.012
0.882 0.416 0.489
0.618 0.916 0.011
0.118 0.584 0.511
0.382 0.084 0.989
0.104 0.162 0.589
0.396 0.662 0.911
0.896 0.838 0.411
0.604 0.338 0.089
0.910 0.327 0.681
0.590 0.827 0.819
0.090 0.673 0.319
0.410 0.173 0.181
0.658 0.074 0.604
0.842 0.574 0.896
0.342 0.926 0.396
0.158 0.426 0.104
```